# 1
An optimized crystal structure of KLi2Hg. Source: Alexandria, functional PBEsol.

Results
Calculated density ... 3.58 Mg/m³
Formation energy from the elements ... -0.138 eV per atom
M_tot ... 0.00 μB per cell

a = 4.7024 Å, b = 4.7024 Å, c = 18.4386 Å
α = 90.00°, β = 90.00°, γ = 120.00°
Space group R-3m (No. 166, hexagonal axes)
Asymmetric unit:
K: 0.0000 0.0000 0.0000 (multiplicity 3)
Li: 0.0000 0.0000 0.1960 (multiplicity 6)
Hg: 0.0000 0.0000 0.5000 (multiplicity 3)

# 2
An optimized crystal structure of CrAg3Te. Source: Alexandria, functional PBEsol.

Results
Calculated density ... 7.14 Mg/m³
M_tot ... 4.86 μB per cell
Formation energy without anion corrections ... 103.6 kJ/mol of atoms

a = 4.892 Å, b = 4.892 Å, c = 4.892 Å
α = 90.00°, β = 90.00°, γ = 90.00°
Space group Pm-3m (No. 221)
Asymmetric unit:
Cr: 0.000 0.000 0.000 (multiplicity 1)
Ag: 0.000 0.000 0.500 (multiplicity 3)
Te: 0.500 0.500 0.500 (multiplicity 1)

# 3
An optimized crystal structure of Ni3HPt. Source: Alexandria, functional PBEsol.

Results
Calculated density ... 12.88 Mg/m³
M_tot ... 0.74 μB per cell
Energy relative to the lowest polymorph listed for this composition ... 0 kJ/mol of formula units

a = 3.633 Å, b = 3.633 Å, c = 3.633 Å
α = 90.00°, β = 90.00°, γ = 90.00°
Space group Pm-3m (No. 221)
Asymmetric unit:
Ni: 0.000 0.000 0.500 (multiplicity 3)
H: 0.000 0.000 0.000 (multiplicity 1)
Pt: 0.500 0.500 0.500 (multiplicity 1)

# 4
An optimized crystal structure of LaZrSc2. Source: Alexandria, functional PBEsol.

Results
Calculated density ... 5.22 Mg/m³
Formation energy from the elements ... 0.054 eV per atom
M_tot ... 0.00 μB per cell
Energy relative to the lowest polymorph listed for this composition ... 0 kJ/mol of formula units

a = 3.269 Å, b = 3.269 Å, c = 9.527 Å
α = 90.00°, β = 90.00°, γ = 90.00°
Space group P4/mmm (No. 123)
Asymmetric unit:
La: 0.000 0.000 0.000 (multiplicity 1)
Zr: 0.000 0.000 0.500 (multiplicity 1)
Sc: 0.500 0.500 0.278 (multiplicity 2)

# 5
An optimized crystal structure of SrZn2Tc. Source: Alexandria, functional PBEsol.

Results
Calculated density ... 7.12 Mg/m³
Formation energy from the elements ... 0.480 eV per atom
M_tot ... 1.05 μB per cell
Energy relative to the lowest polymorph listed for this composition ... 0 kJ/mol of formula units

a = 4.654 Å, b = 4.744 Å, c = 6.681 Å
α = 90.00°, β = 90.00°, γ = 90.00°
Space group Immm (No. 71)
Asymmetric unit:
Sr: 0.000 0.000 0.000 (multiplicity 2)
Zn: 0.000 0.500 0.245 (multiplicity 4)
Tc: 0.000 0.000 0.500 (multiplicity 2)

# 6
An optimized crystal structure of Be4Co3. Source: Alexandria, functional PBEsol.

Results
Calculated density ... 5.93 Mg/m³
Formation energy from the elements ... -0.233 eV per atom
M_tot ... 3.39 μB per cell

a = 2.579 Å, b = 2.579 Å, c = 17.916 Å
α = 90.00°, β = 90.00°, γ = 90.00°
Space group I4/mmm (No. 139)
Asymmetric unit:
Be: 0.000 0.000 0.067 (multiplicity 4)
Be: 0.000 0.000 0.365 (multiplicity 4)
Co: 0.000 0.000 0.208 (multiplicity 4)
Co: 0.000 0.000 0.500 (multiplicity 2)

# 7
An optimized crystal structure of U2SnIr2. Source: Alexandria, functional PBEsol.

Results
Calculated density ... 16.27 Mg/m³
Formation energy from the elements ... -0.430 eV per atom
M_tot ... 3.50 μB per cell

a = 7.575 Å, b = 7.575 Å, c = 3.482 Å
α = 90.00°, β = 90.00°, γ = 90.00°
Space group P4/mbm (No. 127)
Asymmetric unit:
U: 0.168 0.332 0.000 (multiplicity 4)
Sn: 0.000 0.000 0.500 (multiplicity 2)
Ir: 0.134 0.634 0.500 (multiplicity 4)

# 8
An optimized crystal structure of Na2Li2Si. Source: Alexandria, functional PBEsol.

Results
Calculated density ... 1.30 Mg/m³
M_tot ... 0.00 μB per cell
Formation energy without anion corrections ... 6.2 kJ/mol of atoms

a = 6.722 Å, b = 6.722 Å, c = 4.962 Å
α = 90.00°, β = 90.00°, γ = 90.00°
Space group P4/mbm (No. 127)
Asymmetric unit:
Na: 0.188 0.312 0.000 (multiplicity 4)
Li: 0.164 0.664 0.500 (multiplicity 4)
Si: 0.000 0.000 0.500 (multiplicity 2)

# 9
An optimized crystal structure of MgIn2. Source: Alexandria, functional PBEsol.

Results
Calculated density ... 5.87 Mg/m³
Formation energy from the elements ... -0.048 eV per atom
M_tot ... 0.00 μB per cell

a = 3.384 Å, b = 5.194 Å, c = 8.310 Å
α = 90.00°, β = 100.36°, γ = 90.00°
Space group Pm (No. 6)
Asymmetric unit:
Mg: 0.000 0.000 0.000 (multiplicity 1)
Mg: 0.339 0.000 0.664 (multiplicity 1)
In: 0.120 0.500 0.228 (multiplicity 1)
In: 0.454 0.500 0.895 (multiplicity 1)
In: 0.670 0.000 0.332 (multiplicity 1)
In: 0.792 0.500 0.566 (multiplicity 1)

# 10
An optimized crystal structure of Os3ClF. Source: Alexandria, functional PBEsol.

Results
Calculated density ... 13.39 Mg/m³
M_tot ... 3.05 μB per cell
Formation energy without anion corrections ... 238.7 kJ/mol of atoms

a = 4.264 Å, b = 4.264 Å, c = 4.264 Å
α = 90.00°, β = 90.00°, γ = 90.00°
Space group Pm-3m (No. 221)
Asymmetric unit:
Os: 0.000 0.000 0.500 (multiplicity 3)
Cl: 0.500 0.500 0.500 (multiplicity 1)
F: 0.000 0.000 0.000 (multiplicity 1)

# 11
An optimized crystal structure of TaTeBr. Source: Alexandria, functional PBEsol.

Results
Calculated density ... 8.95 Mg/m³
M_tot ... 0.00 μB per cell
Formation energy without anion corrections ... 3.1 kJ/mol of atoms
Energy relative to the lowest polymorph listed for this composition ... 85 kJ/mol of formula units

a = 3.419 Å, b = 5.516 Å, c = 15.287 Å
α = 90.00°, β = 90.00°, γ = 90.00°
Space group Fmm2 (No. 42)
Asymmetric unit:
Ta: 0.000 0.000 0.000 (multiplicity 4)
Te: 0.000 0.000 0.358 (multiplicity 4)
Br: 0.000 0.000 0.633 (multiplicity 4)

# 12
An optimized crystal structure of SrScGaFe2. Source: Alexandria, functional PBEsol.

Results
Calculated density ... 4.82 Mg/m³
Formation energy from the elements ... 0.636 eV per atom
M_tot ... 4.38 μB per cell

a = 4.640 Å, b = 4.640 Å, c = 5.025 Å
α = 90.00°, β = 90.00°, γ = 90.00°
Space group P4/mmm (No. 123)
Asymmetric unit:
Sr: 0.000 0.000 0.000 (multiplicity 1)
Sc: 0.500 0.500 0.000 (multiplicity 1)
Ga: 0.500 0.500 0.500 (multiplicity 1)
Fe: 0.000 0.500 0.500 (multiplicity 2)

Which formula does entry 8 have? Na2Li2Si

Which of these has the lowest calculated density? Na2Li2Si